First-principles (GGA-PBE) data for crystalline Ba2SrI2 at its relaxed geometry, as listed in Alexandria via LeMat-Bulk.

Values from the calculation:
total moment: 0.00 μB/cell
calculated total energy: -2.61 eV per atom

Unit cell a=9.385 b=9.385 c=9.385 alpha=143.68 beta=143.68 gamma=52.30
Fractional coordinates of all 5 atoms:
Ba (0.132, 0.132, 0.000)
Ba (0.868, 0.868, 0.000)
Sr (0.500, 0.500, 0.000)
I (0.250, 0.750, 0.500)
I (0.750, 0.250, 0.500)

First-principles (GGA-PBE) data for crystalline BaSr2I6 at its relaxed geometry, as listed in Alexandria via LeMat-Bulk.

Values from the calculation:
total moment: 0.00 μB/cell
calculated total energy: -3.32 eV per atom

Unit cell a=8.889 b=8.889 c=12.386 alpha=91.87 beta=91.87 gamma=119.37
Fractional coordinates of all 18 atoms:
Ba (0.012, 0.988, 0.750)
Ba (0.988, 0.012, 0.250)
Sr (0.294, 0.590, 0.436)
Sr (0.410, 0.706, 0.064)
Sr (0.590, 0.294, 0.936)
Sr (0.706, 0.410, 0.564)
I (0.031, 0.761, 0.465)
I (0.079, 0.435, 0.199)
I (0.239, 0.969, 0.035)
I (0.294, 0.405, 0.872)
I (0.405, 0.294, 0.372)
I (0.435, 0.079, 0.699)
I (0.565, 0.921, 0.301)
I (0.595, 0.706, 0.628)
I (0.706, 0.595, 0.128)
I (0.761, 0.031, 0.965)
I (0.921, 0.565, 0.801)
I (0.969, 0.239, 0.535)

First-principles (GGA-PBE) data for crystalline BaSr2I6 at its relaxed geometry, as listed in Alexandria via LeMat-Bulk.

Values from the calculation:
total moment: 0.00 μB/cell
calculated total energy: -3.32 eV per atom

Unit cell a=7.880 b=7.880 c=15.275 alpha=90.00 beta=90.00 gamma=90.00
Fractional coordinates of all 18 atoms:
Ba (0.000, 0.000, 0.000)
Ba (0.500, 0.500, 0.500)
Sr (0.000, 0.000, 0.333)
Sr (0.000, 0.000, 0.667)
Sr (0.500, 0.500, 0.167)
Sr (0.500, 0.500, 0.833)
I (0.189, 0.189, 0.500)
I (0.201, 0.201, 0.174)
I (0.201, 0.201, 0.826)
I (0.299, 0.701, 0.326)
I (0.299, 0.701, 0.674)
I (0.311, 0.689, 0.000)
I (0.689, 0.311, 0.000)
I (0.701, 0.299, 0.326)
I (0.701, 0.299, 0.674)
I (0.799, 0.799, 0.174)
I (0.799, 0.799, 0.826)
I (0.811, 0.811, 0.500)

Number 1: calculated density 3.5 Mg/m³, volume 288 Å³ per cell, formation energy without anion corrections -0.887 eV per atom. Number 2: calculated density 4.2 Mg/m³, volume 851 Å³ per cell, formation energy without anion corrections -1.697 eV per atom. Number 3: calculated density 3.8 Mg/m³, volume 949 Å³ per cell, formation energy without anion corrections -1.704 eV per atom.